Entry 1:
KNaCdI2 (PBE, relaxed); energy = -1.89 eV per atom; ΔE_f (raw) = -3.0 eV per formula unit
1.0
-3.6781 2.8857 -3.7397
-2.3834 -5.6624 -2.0251
-4.1770 0.2264 4.2829
I K Na Cd
2 1 1 1
Direct
0.0000 0.0000 0.5000
0.5000 0.0000 0.0000
0.0000 0.5000 0.0000
0.0000 0.0000 0.0000
0.5000 0.5000 0.5000

Entry 2:
K3Na3CdI8 (PBE, relaxed); energy = -2.57 eV per atom; ΔE_f (raw) = -18.0 eV per formula unit
1.0
-5.3099 -4.4164 6.3751
-1.0559 -1.9299 -9.1449
8.0957 -3.1333 4.5723
K I Na Cd
3 8 3 1
Direct
0.0000 0.5000 0.0000
0.0000 0.0000 0.0000
0.5000 0.5000 0.0000
0.7733 0.0158 0.2894
0.7575 0.9842 0.7106
0.2425 0.0158 0.2894
0.2267 0.9842 0.7106
0.2264 0.4527 0.7105
0.7417 0.4835 0.7248
0.2583 0.5165 0.2752
0.7736 0.5473 0.2895
0.5000 0.5000 0.5000
0.5000 0.0000 0.5000
0.0000 0.5000 0.5000
0.0000 0.0000 0.5000

Entry 3:
KNpCdI6 (PBE, relaxed); energy = -3.58 eV per atom; ΔE_f (raw) = -8.0 eV per formula unit
1.0
-4.4544 -5.1061 -4.1971
7.8845 0.2760 -1.1353
1.9548 -10.7217 10.9691
I K Np Cd
12 2 2 2
Direct
0.3651 0.9930 0.6361
0.3721 0.0070 0.1361
0.6279 0.9930 0.8639
0.9930 0.6279 0.3639
0.6349 0.6279 0.1361
0.0070 0.3721 0.6361
0.6349 0.0070 0.3639
0.0070 0.6349 0.8639
0.9930 0.3651 0.1361
0.6279 0.6349 0.6361
0.3651 0.3721 0.8639
0.3721 0.3651 0.3639
0.0000 0.0000 0.5000
0.0000 0.0000 0.0000
0.3333 0.6667 0.2500
0.6667 0.3333 0.7500
0.3333 0.6667 0.7500
0.6667 0.3333 0.2500

Entry 4:
KCdI2O (PBE, relaxed); energy = -2.68 eV per atom; ΔE_f (raw) = -3.3 eV per formula unit
1.0
6.1796 0.0000 0.0000
0.0000 6.1796 0.0000
0.0000 0.0000 4.2818
O I Cd K
1 2 1 1
Direct
0.0000 0.0000 0.5000
0.5000 0.0000 0.0000
0.0000 0.5000 0.0000
0.0000 0.0000 0.0000
0.5000 0.5000 0.5000